[1]
## SmYPO (PBE)

Data for crystalline SmYPO at its relaxed geometry.

Total DFT energy (no corrections) ... -7.37 eV per atom
Calculated density ... 5.3 g cm⁻³

a b c (Å): 4.200 7.611 5.573
angles (deg): 90.00 90.00 90.00
Fractional positions:
Sm (0.000, 0.130, 0.000)
Sm (0.000, 0.870, 0.500)
Y (0.500, 0.295, 0.468)
Y (0.500, 0.705, 0.968)
P (0.500, 0.350, 0.965)
P (0.500, 0.650, 0.465)
O (0.000, 0.175, 0.433)
O (0.000, 0.825, 0.933)

---

[2]
## PmDyTl2 (PBE)

Data for crystalline PmDyTl2 at its relaxed geometry.

Total DFT energy (no corrections) ... -3.89 eV per atom
Calculated density ... 10.7 g cm⁻³

a b c (Å): 3.825 3.825 7.629
angles (deg): 90.00 90.00 90.00
Fractional positions:
Pm (0.000, 0.000, 0.000)
Dy (0.000, 0.000, 0.500)
Tl (0.500, 0.500, 0.259)
Tl (0.500, 0.500, 0.741)

---

[3]
## Tm2ZnOs (PBE)

Data for crystalline Tm2ZnOs at its relaxed geometry.

ΔH_f (0 K) ... -0.3629 eV per atom
Total DFT energy (no corrections) ... -5.72 eV per atom
Calculated density ... 12.0 g cm⁻³

a b c (Å): 3.415 3.415 7.019
angles (deg): 90.00 90.00 90.00
Fractional positions:
Tm (0.000, 0.000, 0.231)
Tm (0.000, 0.000, 0.769)
Zn (0.500, 0.500, 0.500)
Os (0.500, 0.500, 0.000)